Ac2TlRh | Alexandria | PBE-GGA | optimized geometry; D(E_F) = 2.16 states/eV/cell; total moment = 0.00 μB per formula unit; energy of formation from the pure elements = -48 kJ per mole of atoms; symmetry = R3m (160); E = -0.366 Ry/atom
1.0
2.144 1.238 8.668
-2.144 1.238 8.668
0.000 -2.476 8.668
Ac Tl Rh
2 1 1
Direct
0.000 0.000 0.000 Ac
0.205 0.205 0.205 Ac
0.770 0.770 0.770 Tl
0.602 0.602 0.602 Rh

=====

Ac2TlRh | Alexandria | PBE-GGA | optimized geometry; D(E_F) = 3.74 states/eV/cell; total moment = 0.00 μB per formula unit; energy of formation from the pure elements = -43 kJ per mole of atoms; symmetry = P4/mmm (123); E = -0.362 Ry/atom
1.0
3.746 0.000 0.000
0.000 3.746 0.000
0.000 0.000 8.688
Ac Tl Rh
2 1 1
Direct
0.000 0.000 0.208 Ac
0.000 0.000 0.792 Ac
0.500 0.500 0.500 Tl
0.500 0.500 0.000 Rh

=====

Ac2TlRh3 | Alexandria | PBE-GGA | optimized geometry; energy above the lowest structure with this stoichiometry = 0.0 meV per atom; D(E_F) = 17.19 states/eV/cell; total moment = 0.00 μB per formula unit; energy of formation from the pure elements = -43 kJ per mole of atoms; symmetry = Pnma (62); E = -0.433 Ry/atom
1.0
7.273 0.000 0.000
0.000 4.268 0.000
0.000 0.000 18.276
Ac Tl Rh
8 4 12
Direct
0.118 0.250 0.211 Ac
0.138 0.250 0.424 Ac
0.362 0.750 0.924 Ac
0.382 0.750 0.711 Ac
0.618 0.250 0.289 Ac
0.638 0.250 0.076 Ac
0.862 0.750 0.576 Ac
0.882 0.750 0.789 Ac
0.020 0.750 0.068 Tl
0.480 0.250 0.568 Tl
0.520 0.750 0.432 Tl
0.980 0.250 0.932 Tl
0.096 0.250 0.651 Rh
0.204 0.250 0.803 Rh
0.245 0.750 0.551 Rh
0.255 0.250 0.051 Rh
0.296 0.750 0.303 Rh
0.404 0.750 0.151 Rh
0.596 0.250 0.849 Rh
0.704 0.250 0.697 Rh
0.745 0.750 0.949 Rh
0.755 0.250 0.449 Rh
0.796 0.750 0.197 Rh
0.904 0.750 0.349 Rh

=====

AcTl2Rh2 | Alexandria | PBE-GGA | optimized geometry; energy above the lowest structure with this stoichiometry = 0.0 meV per atom; D(E_F) = 3.69 states/eV/cell; total moment = 0.00 μB per formula unit; energy of formation from the pure elements = -31 kJ per mole of atoms; symmetry = C2/m (12); E = -0.370 Ry/atom
1.0
5.373 -2.152 0.000
5.373 2.152 0.000
-1.543 0.000 5.275
Ac Tl Rh
1 2 2
Direct
0.000 0.000 0.000 Ac
0.349 0.349 0.417 Tl
0.651 0.651 0.583 Tl
0.286 0.286 0.877 Rh
0.714 0.714 0.123 Rh

=====

AcTlRh | Alexandria | PBE-GGA | optimized geometry; energy above the lowest structure with this stoichiometry = 112.7 meV per atom; D(E_F) = 1.48 states/eV/cell; total moment = 0.00 μB per formula unit; energy of formation from the pure elements = -41 kJ per mole of atoms; symmetry = F-43m (216); E = -0.370 Ry/atom
1.0
0.000 3.508 3.508
3.508 0.000 3.508
3.508 3.508 0.000
Ac Tl Rh
1 1 1
Direct
0.000 0.000 0.000 Ac
0.500 0.500 0.500 Tl
0.250 0.250 0.250 Rh

=====

Ac6Tl3Rh2 | Alexandria | PBE-GGA | optimized geometry; D(E_F) = 4.25 states/eV/cell; total moment = 0.00 μB per formula unit; energy of formation from the pure elements = -35 kJ per mole of atoms; symmetry = I4/mmm (139); E = -0.337 Ry/atom
1.0
-2.840 2.840 12.126
2.840 -2.840 12.126
2.840 2.840 -12.126
Ac Tl Rh
6 3 2
Direct
0.082 0.582 0.500 Ac
0.198 0.198 0.000 Ac
0.418 0.918 0.500 Ac
0.582 0.082 0.500 Ac
0.802 0.802 0.000 Ac
0.918 0.418 0.500 Ac
0.333 0.333 0.000 Tl
0.500 0.500 0.000 Tl
0.667 0.667 0.000 Tl
0.061 0.061 0.000 Rh
0.939 0.939 0.000 Rh

=====

Ac7Tl2Rh2 | Alexandria | PBE-GGA | optimized geometry; energy above the lowest structure with this stoichiometry = 8.7 meV per atom; D(E_F) = 10.06 states/eV/cell; total moment = 0.00 μB per formula unit; energy of formation from the pure elements = -33 kJ per mole of atoms; symmetry = Cmmm (65); E = -0.347 Ry/atom
1.0
4.348 -6.135 0.000
4.348 6.135 0.000
0.000 0.000 7.690
Ac Tl Rh
7 2 2
Direct
0.000 0.000 0.000 Ac
0.000 0.500 0.251 Ac
0.000 0.500 0.749 Ac
0.500 0.000 0.251 Ac
0.500 0.000 0.749 Ac
0.500 0.500 0.242 Ac
0.500 0.500 0.758 Ac
0.171 0.171 0.500 Tl
0.829 0.829 0.500 Tl
0.294 0.706 0.000 Rh
0.706 0.294 0.000 Rh

=====

AcTl3Rh3 | Alexandria | PBE-GGA | optimized geometry; D(E_F) = 7.49 states/eV/cell; total moment = 0.00 μB per formula unit; energy of formation from the pure elements = -10 kJ per mole of atoms; symmetry = R-3 (148); E = -0.357 Ry/atom
1.0
4.258 2.458 5.357
-4.258 2.458 5.357
0.000 -4.916 5.357
Ac Tl Rh
2 6 6
Direct
0.164 0.164 0.164 Ac
0.836 0.836 0.836 Ac
0.143 0.358 0.637 Tl
0.358 0.637 0.143 Tl
0.363 0.857 0.642 Tl
0.637 0.143 0.358 Tl
0.642 0.363 0.857 Tl
0.857 0.642 0.363 Tl
0.115 0.783 0.468 Rh
0.217 0.532 0.885 Rh
0.468 0.115 0.783 Rh
0.532 0.885 0.217 Rh
0.783 0.468 0.115 Rh
0.885 0.217 0.532 Rh